No. 1
A geometry-optimized LaReH5 structure, computed with PBE.

a b c (Å): 5.3805 7.1088 4.0827
angles (deg): 90.00 90.00 90.00
Positions (direct):
La 0.0000 0.0000 0.0000
La 0.5000 0.5000 0.5000
Re 0.0000 0.5000 0.9804
Re 0.5000 0.0000 0.4804
H 0.0000 0.2992 0.7639
H 0.0000 0.5000 0.4258
H 0.0000 0.7008 0.7639
H 0.1803 0.0000 0.4976
H 0.3197 0.5000 0.9976
H 0.5000 0.0000 0.9258
H 0.5000 0.2008 0.2639
H 0.5000 0.7992 0.2639
H 0.6803 0.5000 0.9976
H 0.8197 0.0000 0.4976

The calculation puts the total DFT energy (no corrections) at -4.8981 eV per atom.

No. 2
A geometry-optimized YPu2ZrSe4 structure, computed with PBE.

a b c (Å): 7.0015 4.0345 7.0541
angles (deg): 90.00 109.20 90.00
Positions (direct):
Y 0.0000 0.0000 0.0000
Pu 0.0000 0.5000 0.5000
Pu 0.5000 0.0000 0.5000
Zr 0.5000 0.5000 0.0000
Se 0.2527 0.5000 0.2427
Se 0.2590 0.0000 0.7606
Se 0.7410 0.0000 0.2394
Se 0.7473 0.5000 0.7573

For the formation energy without anion corrections, the calculation gives -1.4979 eV per atom.

No. 3
A geometry-optimized Cd2Fe2Ag structure, computed with PBE.

a b c (Å): 7.7983 7.7983 2.8561
angles (deg): 90.00 90.00 90.00
Positions (direct):
Cd 0.1888 0.3112 0.0000
Cd 0.3112 0.8112 0.0000
Cd 0.6888 0.1888 0.0000
Cd 0.8112 0.6888 0.0000
Fe 0.1045 0.6045 0.5000
Fe 0.3955 0.1045 0.5000
Fe 0.6045 0.8955 0.5000
Fe 0.8955 0.3955 0.5000
Ag 0.0000 0.0000 0.5000
Ag 0.5000 0.5000 0.5000

The formation energy is 0.384 eV/atom.

No. 4
A geometry-optimized HgTe2Au structure, computed with PBE.

a b c (Å): 4.1496 4.1496 7.0344
angles (deg): 90.00 90.00 90.00
Positions (direct):
Hg 0.0000 0.0000 0.0000
Te 0.0000 0.5000 0.5000
Te 0.5000 0.0000 0.5000
Au 0.5000 0.5000 0.0000

For the formation energy without anion corrections, the calculation gives 0.2624 eV per atom.

No. 5
A geometry-optimized Sc4SiPSe2 structure, computed with PBE.

a b c (Å): 6.6395 3.8261 6.7120
angles (deg): 90.00 109.13 90.00
Positions (direct):
Sc 0.2422 0.0000 0.2294
Sc 0.2542 0.5000 0.7664
Sc 0.7458 0.5000 0.2336
Sc 0.7578 0.0000 0.7706
Si 0.5000 0.0000 0.0000
P 0.0000 0.5000 0.0000
Se 0.0000 0.0000 0.5000
Se 0.5000 0.5000 0.5000

For the formation energy without anion corrections, the calculation gives -1.4147 eV per atom.

No. 6
A geometry-optimized YMnSe2 structure, computed with PBE.

a b c (Å): 6.6880 6.6880 6.6880
angles (deg): 90.00 90.00 90.00
Positions (direct):
Y 0.0000 0.0000 0.0000
Y 0.0000 0.5000 0.5000
Y 0.5000 0.0000 0.5000
Y 0.5000 0.5000 0.0000
Mn 0.0000 0.0000 0.5000
Mn 0.0000 0.5000 0.0000
Mn 0.5000 0.0000 0.0000
Mn 0.5000 0.5000 0.5000
Se 0.2500 0.2500 0.2500
Se 0.2500 0.2500 0.7500
Se 0.2500 0.7500 0.2500
Se 0.2500 0.7500 0.7500
Se 0.7500 0.2500 0.2500
Se 0.7500 0.2500 0.7500
Se 0.7500 0.7500 0.2500
Se 0.7500 0.7500 0.7500

For the formation energy without anion corrections, the calculation gives -0.4395 eV per atom.

No. 7
A geometry-optimized ZrTeSeI2 structure, computed with PBE.

a b c (Å): 5.7547 5.7547 5.6213
angles (deg): 90.00 90.00 90.00
Positions (direct):
Zr 0.0000 0.0000 0.0000
Te 0.0000 0.0000 0.5000
Se 0.5000 0.5000 0.5000
I 0.0000 0.5000 0.0000
I 0.5000 0.0000 0.0000

The relative energy among the computed polymorphs is 0.00 eV per formula unit. For the formation energy without anion corrections, the calculation gives -0.0236 eV per atom.

No. 8
A geometry-optimized TmMgScPb structure, computed with PBE.

a b c (Å): 7.3613 7.3613 7.3613
angles (deg): 90.00 90.00 90.00
Positions (direct):
Tm 0.0000 0.0000 0.0000
Tm 0.0000 0.5000 0.5000
Tm 0.5000 0.0000 0.5000
Tm 0.5000 0.5000 0.0000
Mg 0.2500 0.2500 0.2500
Mg 0.2500 0.7500 0.7500
Mg 0.7500 0.2500 0.7500
Mg 0.7500 0.7500 0.2500
Sc 0.0000 0.0000 0.5000
Sc 0.0000 0.5000 0.0000
Sc 0.5000 0.0000 0.0000
Sc 0.5000 0.5000 0.5000
Pb 0.2500 0.2500 0.7500
Pb 0.2500 0.7500 0.2500
Pb 0.7500 0.2500 0.2500
Pb 0.7500 0.7500 0.7500

The formation energy is -0.207 eV/atom.

What did the first record say?
A geometry-optimized LaReH5 structure, computed with PBE.

a b c (Å): 5.3805 7.1088 4.0827
angles (deg): 90.00 90.00 90.00
Positions (direct):
La 0.0000 0.0000 0.0000
La 0.5000 0.5000 0.5000
Re 0.0000 0.5000 0.9804
Re 0.5000 0.0000 0.4804
H 0.0000 0.2992 0.7639
H 0.0000 0.5000 0.4258
H 0.0000 0.7008 0.7639
H 0.1803 0.0000 0.4976
H 0.3197 0.5000 0.9976
H 0.5000 0.0000 0.9258
H 0.5000 0.2008 0.2639
H 0.5000 0.7992 0.2639
H 0.6803 0.5000 0.9976
H 0.8197 0.0000 0.4976

The calculation puts the total DFT energy (no corrections) at -4.8981 eV per atom.